[1]
Here is an optimized crystal structure of RbCu2Ag2Br7 from the Alexandria database. Energies are from PBE.

Calculated values
formation energy without anion corrections: -0.49 eV per atom
N(E_F): 11.82 states/eV/f.u.

a b c (Å): 7.2770 7.2770 33.7265
angles (deg): 90.00 90.00 120.00
Space group R32 (No. 155, hexagonal axes)
Inequivalent atoms, fractional coordinates:
Rb  0.0000  0.0000  0.0000 x3
Cu  0.0000  0.0000  0.4284 x6
Ag  0.0000  0.0000  0.2531 x6
Br  0.0000  0.0000  0.5000 x3
Br  0.0041  0.3588  0.2569 x18

---

[2]
Here is an optimized crystal structure of Rb4Cu3AgBr12 from the Alexandria database. Energies are from PBE.

Calculated values
formation energy without anion corrections: -0.86 eV per atom
N(E_F): 8.77 states/eV/f.u.

a b c (Å): 10.538 10.538 10.538
angles (deg): 90.00 90.00 90.00
Space group Im-3m (No. 229)
Inequivalent atoms, fractional coordinates:
Rb  0.250  0.250  0.250 x8
Cu  0.000  0.000  0.500 x6
Ag  0.000  0.000  0.000 x2
Br  0.000  0.000  0.262 x12
Br  0.000  0.250  0.500 x12

---

[3]
Here is an optimized crystal structure of Rb2Cu2AgBr6 from the Alexandria database. Energies are from PBE.

Calculated values
formation energy without anion corrections: -0.83 eV per atom
N(E_F): 5.63 states/eV/f.u.

a b c (Å): 14.188 7.398 7.658
angles (deg): 90.00 116.53 90.00
Space group C2/m (No. 12)
Inequivalent atoms, fractional coordinates:
Rb  0.226  0.000  0.206 x4
Cu  0.057  0.500  0.207 x4
Ag  0.000  0.000  0.500 x2
Br  0.047  0.249  0.787 x8
Br  0.238  0.500  0.309 x4

---

[4]
Here is an optimized crystal structure of RbCu2AgBr8 from the Alexandria database. Energies are from PBE.

Calculated values
formation energy without anion corrections: -0.43 eV per atom
N(E_F): 15.58 states/eV/f.u.

a b c (Å): 6.7580 6.7580 9.3168
angles (deg): 90.00 90.00 120.00
Space group P-3 (No. 147)
Inequivalent atoms, fractional coordinates:
Rb  0.0000  0.0000  0.0000 x1
Cu  0.3333  0.6667  0.7416 x2
Ag  0.0000  0.0000  0.5000 x1
Br  0.0002  0.3197  0.6759 x6
Br  0.3333  0.6667  0.9952 x2